1.
A plane-wave DFT calculation with GGA-PBE was carried out for a relaxed Na3Sc5F12 crystal.

Summary:
E_form (uncorrected)   -2.959 eV per atom
DOS at the Fermi energy   84.33 states/eV per cell
VASP energy   -5.862 eV/atom
Total moment   23.09 Bohr magnetons per cell

abc: 13.5493 13.5493 13.5493
angles: 90.00 90.00 90.00
Space group Ia-3d (No. 230)
Unique sites:
1 Na 0.0000 0.2500 0.1250 x24
2 Sc 0.0000 0.0000 0.0000 x16
3 Sc 0.0000 0.2500 0.3750 x24
4 F 0.0062 0.0334 0.6546 x96

---

2.
A plane-wave DFT calculation with GGA-PBE was carried out for a relaxed KMg2In crystal.

Summary:
DFT formation energy   133.9 meV/atom
DOS at the Fermi energy   3.92 states/eV per cell
VASP energy   -1.622 eV/atom
Total moment   0.00 Bohr magnetons per cell

abc: 3.4572 5.9360 11.7328
angles: 90.00 90.00 90.00
Space group Imm2 (No. 44)
Unique sites:
1 K 0.0000 0.0000 0.0000 x2
2 Mg 0.0000 0.0000 0.5149 x2
3 Mg 0.0000 0.5000 0.7897 x2
4 In 0.0000 0.5000 0.2291 x2

---

3.
A plane-wave DFT calculation with GGA-PBE was carried out for a relaxed LiGdYGe crystal.

Summary:
DFT formation energy   -430.4 meV/atom
DOS at the Fermi energy   15.24 states/eV per cell
VASP energy   -7.199 eV/atom
Total moment   29.53 Bohr magnetons per cell

abc: 7.1416 7.1416 7.1416
angles: 90.00 90.00 90.00
Space group F-43m (No. 216)
Unique sites:
1 Li 0.0000 0.0000 0.0000 x4
2 Gd 0.2500 0.2500 0.7500 x4
3 Y 0.2500 0.2500 0.2500 x4
4 Ge 0.0000 0.0000 0.5000 x4

---

4.
A plane-wave DFT calculation with GGA-PBE was carried out for a relaxed LuZrTiIn crystal.

Summary:
DFT formation energy   -63.8 meV/atom
DOS at the Fermi energy   14.46 states/eV per cell
VASP energy   -5.989 eV/atom
Total moment   12.45 Bohr magnetons per cell

abc: 7.1465 7.1465 7.1465
angles: 90.00 90.00 90.00
Space group F-43m (No. 216)
Unique sites:
1 Lu 0.0000 0.0000 0.0000 x4
2 Zr 0.0000 0.0000 0.5000 x4
3 Ti 0.2500 0.2500 0.7500 x4
4 In 0.2500 0.2500 0.2500 x4

---

5.
A plane-wave DFT calculation with GGA-PBE was carried out for a relaxed ZrNbW3 crystal.

Summary:
DFT formation energy   1827.8 meV/atom
DOS at the Fermi energy   9.29 states/eV per cell
VASP energy   -9.668 eV/atom
Total moment   0.00 Bohr magnetons per cell

abc: 4.7767 4.7767 4.7767
angles: 90.00 90.00 90.00
Space group Pm-3m (No. 221)
Unique sites:
1 Zr 0.0000 0.0000 0.0000 x1
2 Nb 0.5000 0.5000 0.5000 x1
3 W 0.0000 0.5000 0.5000 x3

---

6.
A plane-wave DFT calculation with GGA-PBE was carried out for a relaxed YCrNi crystal.

Summary:
DFT formation energy   886.0 meV/atom
DOS at the Fermi energy   12.38 states/eV per cell
VASP energy   -6.404 eV/atom
Total moment   16.90 Bohr magnetons per cell

abc: 6.4165 6.4165 6.4165
angles: 90.00 90.00 90.00
Space group F-43m (No. 216)
Unique sites:
1 Y 0.0000 0.0000 0.0000 x4
2 Cr 0.2500 0.2500 0.2500 x4
3 Ni 0.2500 0.2500 0.7500 x4

---

7.
A plane-wave DFT calculation with GGA-PBE was carried out for a relaxed CsPr2PaS5 crystal.

Summary:
E_form (uncorrected)   -1.743 eV per atom
DOS at the Fermi energy   6.91 states/eV per cell
VASP energy   -6.248 eV/atom
Total moment   0.21 Bohr magnetons per cell

abc: 5.1117 7.4150 13.8545
angles: 90.00 90.00 90.00
Space group Immm (No. 71)
Unique sites:
1 Cs 0.0000 0.0000 0.0000 x2
2 Pr 0.0000 0.5000 0.2051 x4
3 Pa 0.0000 0.0000 0.5000 x2
4 S 0.0000 0.2322 0.3501 x8
5 S 0.0000 0.5000 0.0000 x2

---

8.
A plane-wave DFT calculation with GGA-PBE was carried out for a relaxed Tm2Ti2Ge2C crystal.

Summary:
DFT formation energy   -825.2 meV/atom
DOS at the Fermi energy   12.34 states/eV per cell
VASP energy   -6.995 eV/atom
Total moment   1.52 Bohr magnetons per cell

abc: 4.1524 4.1524 14.8813
angles: 90.00 90.00 90.00
Space group I4/mmm (No. 139)
Unique sites:
1 Tm 0.0000 0.0000 0.1655 x4
2 Ti 0.0000 0.5000 0.0000 x4
3 Ge 0.0000 0.0000 0.3706 x4
4 C 0.0000 0.0000 0.0000 x2

---

9.
A plane-wave DFT calculation with GGA-PBE was carried out for a relaxed CaDy6Er2 crystal.

Summary:
DFT formation energy   230.1 meV/atom
DOS at the Fermi energy   55.60 states/eV per cell
VASP energy   -4.074 eV/atom
Total moment   0.00 Bohr magnetons per cell

abc: 9.0373 14.2963 9.1105
angles: 90.00 92.39 90.00
Space group C2/c (No. 15)
Unique sites:
1 Ca 0.0000 0.1060 0.2500 x4
2 Dy 0.0564 0.1046 0.5912 x8
3 Dy 0.1102 0.3134 0.4177 x8
4 Dy 0.1633 0.4812 0.1248 x8
5 Er 0.1688 0.2986 0.8343 x8

---

10.
A plane-wave DFT calculation with GGA-PBE was carried out for a relaxed Li3HfPd4 crystal.

Summary:
DFT formation energy   -603.4 meV/atom
DOS at the Fermi energy   1.20 states/eV per cell
VASP energy   -5.162 eV/atom
Total moment   0.00 Bohr magnetons per cell

abc: 4.2274 4.2274 6.5890
angles: 90.00 90.00 90.00
Space group P4/mmm (No. 123)
Unique sites:
1 Li 0.0000 0.0000 0.0000 x1
2 Li 0.0000 0.0000 0.5000 x1
3 Li 0.5000 0.5000 0.0000 x1
4 Hf 0.5000 0.5000 0.5000 x1
5 Pd 0.0000 0.5000 0.2402 x4

---

11.
A plane-wave DFT calculation with GGA-PBE was carried out for a relaxed PrSmHgBr crystal.

Summary:
E_form (uncorrected)   -0.616 eV per atom
DOS at the Fermi energy   19.28 states/eV per cell
VASP energy   -3.485 eV/atom
Total moment   0.00 Bohr magnetons per cell

abc: 7.6348 7.6348 7.6348
angles: 90.00 90.00 90.00
Space group F-43m (No. 216)
Unique sites:
1 Pr 0.0000 0.0000 0.0000 x4
2 Sm 0.0000 0.0000 0.5000 x4
3 Hg 0.2500 0.2500 0.7500 x4
4 Br 0.2500 0.2500 0.2500 x4

---

12.
A plane-wave DFT calculation with GGA-PBE was carried out for a relaxed UNiOs2 crystal.

Summary:
DFT formation energy   123.2 meV/atom
DOS at the Fermi energy   16.15 states/eV per cell
VASP energy   -9.759 eV/atom
Total moment   0.00 Bohr magnetons per cell

abc: 4.4997 4.4997 12.1134
angles: 90.00 90.00 120.00
Space group R-3m (No. 166, hexagonal axes)
Unique sites:
1 U 0.0000 0.0000 0.0000 x3
2 Ni 0.0000 0.0000 0.5000 x3
3 Os 0.0000 0.0000 0.1994 x6

---

13.
A plane-wave DFT calculation with GGA-PBE was carried out for a relaxed CaDyTl4 crystal.

Summary:
DFT formation energy   -114.7 meV/atom
DOS at the Fermi energy   5.26 states/eV per cell
VASP energy   -2.793 eV/atom
Total moment   0.00 Bohr magnetons per cell

abc: 6.5902 8.4481 7.2098
angles: 90.00 112.89 90.00
Space group C2/m (No. 12)
Unique sites:
1 Ca 0.0000 0.0000 0.0000 x2
2 Dy 0.0000 0.5000 0.5000 x2
3 Tl 0.2482 0.1899 0.7393 x8

---

14.
A plane-wave DFT calculation with GGA-PBE was carried out for a relaxed Y6C2NCl3 crystal.

Summary:
E_form (uncorrected)   -1.263 eV per atom
DOS at the Fermi energy   8.76 states/eV per cell
VASP energy   -7.188 eV/atom
Total moment   0.00 Bohr magnetons per cell

abc: 6.2902 10.8953 7.0880
angles: 90.00 107.20 90.00
Space group C2/m (No. 12)
Unique sites:
1 Y 0.2280 0.1659 0.1863 x8
2 Y 0.2303 0.5000 0.1863 x4
3 C 0.0000 0.3334 0.0000 x4
4 N 0.0000 0.0000 0.0000 x2
5 Cl 0.0000 0.1676 0.5000 x4
6 Cl 0.0000 0.5000 0.5000 x2

---

15.
A plane-wave DFT calculation with GGA-PBE was carried out for a relaxed HgPbSe2 crystal.

Summary:
E_form (uncorrected)   -0.171 eV per atom
DOS at the Fermi energy   4.44 states/eV per cell
VASP energy   -2.915 eV/atom
Total moment   0.00 Bohr magnetons per cell

abc: 3.8798 3.9406 14.1973
angles: 90.00 90.00 90.00
Space group Imm2 (No. 44)
Unique sites:
1 Hg 0.0000 0.0000 0.0000 x2
2 Pb 0.0000 0.5000 0.7412 x2
3 Se 0.0000 0.0000 0.5674 x2
4 Se 0.0000 0.5000 0.3340 x2

---

16.
A plane-wave DFT calculation with GGA-PBE was carried out for a relaxed Li4Ho3NpSe8 crystal.

Summary:
E_form (uncorrected)   -1.558 eV per atom
DOS at the Fermi energy   31.33 states/eV per cell
VASP energy   -5.446 eV/atom
Total moment   12.01 Bohr magnetons per cell

abc: 8.1429 8.1429 19.5034
angles: 90.00 90.00 120.00
Space group R-3m (No. 166, hexagonal axes)
Unique sites:
1 Li 0.0000 0.0000 0.0000 x3
2 Li 0.0000 0.5000 0.0000 x9
3 Ho 0.0000 0.5000 0.5000 x9
4 Np 0.0000 0.0000 0.5000 x3
5 Se 0.0000 0.0000 0.2508 x6
6 Se 0.0043 0.5021 0.7487 x18

---

17.
A plane-wave DFT calculation with GGA-PBE was carried out for a relaxed CuHNF2 crystal.

Summary:
DOS at the Fermi energy   5.61 states/eV per cell
VASP energy   -3.566 eV/atom
Total moment   2.58 Bohr magnetons per cell

abc: 4.0933 4.0933 2.5884
angles: 90.00 90.00 90.00
Space group P4/mmm (No. 123)
Unique sites:
1 Cu 0.0000 0.0000 0.0000 x1
2 H 0.5000 0.5000 0.5000 x1
3 N 0.5000 0.5000 0.0000 x1
4 F 0.0000 0.5000 0.5000 x2

---

18.
A plane-wave DFT calculation with GGA-PBE was carried out for a relaxed Ag2Sn crystal.

Summary:
DFT formation energy   68.5 meV/atom
DOS at the Fermi energy   7.71 states/eV per cell
VASP energy   -3.167 eV/atom
Total moment   0.00 Bohr magnetons per cell

abc: 7.9822 7.9822 7.9822
angles: 90.00 90.00 90.00
Space group Fd-3m (No. 227, origin choice 2)
Unique sites:
1 Ag 0.0000 0.0000 0.0000 x16
2 Sn 0.1250 0.1250 0.6250 x8

---

19.
A plane-wave DFT calculation with GGA-PBE was carried out for a relaxed CuSbBr4 crystal.

Summary:
E_form (uncorrected)   0.884 eV per atom
DOS at the Fermi energy   35.68 states/eV per cell
VASP energy   -1.601 eV/atom
Total moment   0.01 Bohr magnetons per cell

abc: 8.7508 8.7508 8.7508
angles: 90.00 90.00 90.00
Space group F-43m (No. 216)
Unique sites:
1 Cu 0.0000 0.0000 0.0000 x4
2 Sb 0.2500 0.2500 0.7500 x4
3 Br 0.1259 0.1259 0.3741 x16

---

20.
A plane-wave DFT calculation with GGA-PBE was carried out for a relaxed Pr6SmEr2Tm3 crystal.

Summary:
DFT formation energy   15.1 meV/atom
DOS at the Fermi energy   24.99 states/eV per cell
VASP energy   -4.646 eV/atom
Total moment   0.00 Bohr magnetons per cell

abc: 6.2866 10.8874 11.8374
angles: 90.00 100.18 90.00
Space group C2/m (No. 12)
Unique sites:
1 Pr 0.2491 0.1669 0.2482 x8
2 Pr 0.2503 0.0000 0.7517 x4
3 Sm 0.0000 0.5000 0.5000 x2
4 Er 0.0000 0.1666 0.5000 x4
5 Tm 0.0000 0.0000 0.0000 x2
6 Tm 0.0000 0.3333 0.0000 x4

---

21.
A plane-wave DFT calculation with GGA-PBE was carried out for a relaxed Pm6Cu5Ni crystal.

Summary:
DFT formation energy   -178.8 meV/atom
DOS at the Fermi energy   10.26 states/eV per cell
VASP energy   -4.743 eV/atom
Total moment   0.00 Bohr magnetons per cell

abc: 5.0282 7.0844 7.9374
angles: 90.00 108.33 90.00
Space group P2/m (No. 10)
Unique sites:
1 Pm 0.0000 0.2448 0.0000 x2
2 Pm 0.3359 0.2478 0.6725 x4
3 Cu 0.1670 0.5000 0.3336 x2
4 Cu 0.1742 0.0000 0.3439 x2
5 Cu 0.5000 0.5000 0.0000 x1
6 Ni 0.5000 0.0000 0.0000 x1